# 1
CrIr2Os after structural relaxation. Source: Alexandria via LeMat-Bulk, functional PBEsol.

Output
VASP energy (eV/cell): -42.8
ρ (Mg/m³): 19.46
DFT formation energy (eV/atom): -0.173
V (Å³ per atom): 13.4
Energy above the most stable polymorph in this dataset (eV per atom): 0.000

abc: 2.687 4.257 4.673
angles: 90.00 90.00 90.00
Positions (direct):
Cr 0.500 0.500 0.214
Ir 0.000 0.000 0.046
Ir 0.000 0.500 0.704
Os 0.500 0.000 0.535


# 2
Cr2PIr after structural relaxation. Source: Alexandria via LeMat-Bulk, functional PBEsol.

Output
VASP energy (eV/cell): -35.2
ρ (Mg/m³): 10.94
DFT formation energy (eV/atom): 0.218
V (Å³ per atom): 12.4

abc: 2.648 2.648 7.750
angles: 90.00 90.00 113.90
Positions (direct):
Cr 0.000 0.000 0.004
Cr 0.500 0.500 0.768
Ir 0.000 0.000 0.494
P 0.500 0.500 0.234


# 3
CrPIr2 after structural relaxation. Source: Alexandria via LeMat-Bulk, functional PBEsol.

Output
VASP energy (eV/cell): -35.3
ρ (Mg/m³): 14.63
DFT formation energy (eV/atom): 0.101
V (Å³ per atom): 13.3

abc: 2.714 4.342 4.500
angles: 90.00 90.00 90.00
Positions (direct):
Cr 0.000 0.500 0.500
Ir 0.000 0.000 0.000
Ir 0.500 0.000 0.500
P 0.500 0.500 0.000